# La3Pm12Th (PBE, relaxed)
data_La3Pm12Th
_cell_length_a 5.1796
_cell_length_b 5.1796
_cell_length_c 20.7218
_cell_angle_alpha 90.00
_cell_angle_beta 90.00
_cell_angle_gamma 90.00
_space_group_name_H-M_alt 'P 4/m m m'
_space_group_IT_number 123
_space_group_name_Hall '-P 4 2'
loop_
_atom_site_label
_atom_site_type_symbol
_atom_site_fract_x
_atom_site_fract_y
_atom_site_fract_z
La1 La 0.0000 0.0000 0.0000
La2 La 0.0000 0.0000 0.2508
Pm1 Pm 0.0000 0.5000 0.1261
Pm2 Pm 0.0000 0.5000 0.3793
Pm3 Pm 0.5000 0.5000 0.0000
Pm4 Pm 0.5000 0.5000 0.2515
Pm5 Pm 0.5000 0.5000 0.5000
Th1 Th 0.0000 0.0000 0.5000
# Total DFT energy (no corrections): -4.928 eV/atom
# Size of the total moment: 0.0000 μB per atom

# Sm2Dy6Y3In (PBE, relaxed)
data_Sm2Dy6Y3In
_cell_length_a 6.1050
_cell_length_b 10.5841
_cell_length_c 11.7151
_cell_angle_alpha 90.00
_cell_angle_beta 100.05
_cell_angle_gamma 90.00
_space_group_name_H-M_alt 'C 1 2/m 1'
_space_group_IT_number 12
loop_
_space_group_symop_operation_xyz
'x,y,z'
'-x,-y,-z'
'-x,y,-z'
'x,-y,z'
'x+1/2,y+1/2,z'
'-x+1/2,-y+1/2,-z'
'-x+1/2,y+1/2,-z'
'x+1/2,-y+1/2,z'
loop_
_atom_site_label
_atom_site_type_symbol
_atom_site_fract_x
_atom_site_fract_y
_atom_site_fract_z
Sm1 Sm 0.0000 0.1661 0.0000
Dy1 Dy 0.2451 0.5000 0.7510
Dy2 Dy 0.2461 0.3362 0.2479
Y1 Y 0.0000 0.0000 0.5000
Y2 Y 0.0000 0.3334 0.5000
In1 In 0.0000 0.5000 0.0000
# Total DFT energy (no corrections): -4.979 eV/atom
# Size of the total moment: 0.0000 μB per atom

# GdPuMn2 (PBE, relaxed)
data_GdPuMn2
_cell_length_a 4.2617
_cell_length_b 4.2617
_cell_length_c 15.0962
_cell_angle_alpha 90.00
_cell_angle_beta 90.00
_cell_angle_gamma 120.00
_space_group_name_H-M_alt 'R -3 m'
_space_group_IT_number 166
_space_group_name_Hall '-R 3 2"'
loop_
_atom_site_label
_atom_site_type_symbol
_atom_site_fract_x
_atom_site_fract_y
_atom_site_fract_z
Gd1 Gd 0.0000 0.0000 0.0000
Pu1 Pu 0.0000 0.0000 0.5000
Mn1 Mn 0.0000 0.0000 0.2013
# Total DFT energy (no corrections): -11.633 eV/atom
# Energy above the most stable polymorph in this dataset: 0.00 eV per formula unit
# Size of the total moment: 1.5366 μB per atom

# Tl2VSnBr6 (PBE, relaxed)
data_Tl2VSnBr6
_cell_length_a 7.5051
_cell_length_b 7.9016
_cell_length_c 13.2438
_cell_angle_alpha 90.00
_cell_angle_beta 124.48
_cell_angle_gamma 90.00
_space_group_name_H-M_alt 'P 1 21/c 1'
_space_group_IT_number 14
loop_
_space_group_symop_operation_xyz
'x,y,z'
'-x,-y,-z'
'-x,y+1/2,-z+1/2'
'x,-y+1/2,z+1/2'
loop_
_atom_site_label
_atom_site_type_symbol
_atom_site_fract_x
_atom_site_fract_y
_atom_site_fract_z
Tl1 Tl 0.2222 0.0788 0.2480
V1 V 0.0000 0.0000 0.5000
Sn1 Sn 0.5000 0.0000 0.0000
Br1 Br 0.1317 0.2145 0.9550
Br2 Br 0.2474 0.6808 0.9559
Br3 Br 0.3271 0.0147 0.7339
# Total DFT energy (no corrections): -3.579 eV/atom
# Formation energy without anion corrections: -76.2 kJ/mol of atoms
# Size of the total moment: 0.3000 μB per atom

# SiNiPt2 (PBE, relaxed)
data_SiNiPt2
_cell_length_a 3.9432
_cell_length_b 3.9432
_cell_length_c 6.9752
_cell_angle_alpha 90.00
_cell_angle_beta 90.00
_cell_angle_gamma 90.00
_space_group_name_H-M_alt 'I 4/m m m'
_space_group_IT_number 139
_space_group_name_Hall '-I 4 2'
loop_
_atom_site_label
_atom_site_type_symbol
_atom_site_fract_x
_atom_site_fract_y
_atom_site_fract_z
Si1 Si 0.0000 0.0000 0.0000
Ni1 Ni 0.0000 0.0000 0.5000
Pt1 Pt 0.0000 0.5000 0.2500
# Total DFT energy (no corrections): -6.220 eV/atom
# Formation energy without anion corrections: -38.4 kJ/mol of atoms
# Size of the total moment: 0.0000 μB per atom

# CaReSi2 (PBE, relaxed)
data_CaReSi2
_cell_length_a 3.1644
_cell_length_b 3.4338
_cell_length_c 14.2313
_cell_angle_alpha 90.00
_cell_angle_beta 90.00
_cell_angle_gamma 90.00
_space_group_name_H-M_alt 'I m m 2'
_space_group_IT_number 44
loop_
_space_group_symop_operation_xyz
'x,y,z'
'-x,-y,z'
'-x,y,z'
'x,-y,z'
'x+1/2,y+1/2,z+1/2'
'-x+1/2,-y+1/2,z+1/2'
'-x+1/2,y+1/2,z+1/2'
'x+1/2,-y+1/2,z+1/2'
loop_
_atom_site_label
_atom_site_type_symbol
_atom_site_fract_x
_atom_site_fract_y
_atom_site_fract_z
Ca1 Ca 0.0000 0.0000 0.0000
Re1 Re 0.0000 0.5000 0.7361
Si1 Si 0.0000 0.0000 0.3649
Si2 Si 0.0000 0.5000 0.1726
# Total DFT energy (no corrections): -6.346 eV/atom
# Formation energy without anion corrections: -2.1 kJ/mol of atoms
# Size of the total moment: 0.0000 μB per atom

# Ba2YI7 (PBE, relaxed)
data_Ba2YI7
_cell_length_a 22.9072
_cell_length_b 14.5931
_cell_length_c 15.1517
_cell_angle_alpha 90.00
_cell_angle_beta 127.49
_cell_angle_gamma 90.00
_space_group_name_H-M_alt 'C 1 2/c 1'
_space_group_IT_number 15
loop_
_space_group_symop_operation_xyz
'x,y,z'
'-x,-y,-z'
'-x,y,-z+1/2'
'x,-y,z+1/2'
'x+1/2,y+1/2,z'
'-x+1/2,-y+1/2,-z'
'-x+1/2,y+1/2,-z+1/2'
'x+1/2,-y+1/2,z+1/2'
loop_
_atom_site_label
_atom_site_type_symbol
_atom_site_fract_x
_atom_site_fract_y
_atom_site_fract_z
Ba1 Ba 0.0742 0.1858 0.0569
Ba2 Ba 0.1275 0.4361 0.5641
Y1 Y 0.1741 0.1462 0.6777
I1 I 0.0559 0.4104 0.1495
I2 I 0.0637 0.0260 0.6720
I3 I 0.0743 0.1933 0.4332
I4 I 0.0858 0.2930 0.7009
I5 I 0.2047 0.3513 0.0691
I6 I 0.2251 0.0243 0.1319
I7 I 0.2267 0.2192 0.3355
# Total DFT energy (no corrections): -3.722 eV/atom
# Formation energy without anion corrections: -154.9 kJ/mol of atoms
# Energy above the most stable polymorph in this dataset: 0.09 eV per formula unit
# Size of the total moment: 0.0000 μB per atom

# NaNpTeO6 (PBE, relaxed)
data_NaNpTeO6
_cell_length_a 5.6946
_cell_length_b 5.6946
_cell_length_c 10.0912
_cell_angle_alpha 90.00
_cell_angle_beta 90.00
_cell_angle_gamma 120.00
_space_group_name_H-M_alt 'P -3 1 c'
_space_group_IT_number 163
_space_group_name_Hall '-P 3 2c'
loop_
_atom_site_label
_atom_site_type_symbol
_atom_site_fract_x
_atom_site_fract_y
_atom_site_fract_z
Na1 Na 0.0000 0.0000 0.0000
Np1 Np 0.3333 0.6667 0.2500
Te1 Te 0.3333 0.6667 0.7500
O1 O 0.0132 0.3763 0.1434
# Total DFT energy (no corrections): -7.102 eV/atom
# Formation energy without anion corrections: -179.7 kJ/mol of atoms
# Size of the total moment: 0.0000 μB per atom